Entry from the Alexandria database: KLaMn2 after structural relaxation (PBE-GGA).

The value obtained for the energy relative to the elements is 703 meV per atom. The total energy is -5.3882 eV/atom. The value obtained for the total magnetization is 1.656 μB per atom.

It has space group Pm (No. 6), with a = 3.530 Å, b = 4.730 Å, c = 7.577 Å, α = 90.00°, β = 103.38° and γ = 90.00°. The asymmetric unit holds K at (0.000, 0.000, 0.000), La at (0.707, 0.500, 0.412), Mn at (0.284, 0.000, 0.568) and Mn at (0.367, 0.500, 0.734).

---

Entry from the Alexandria database: Na2SmSO6 after structural relaxation (PBE-GGA).

The total energy is -5.6732 eV/atom. The value obtained for the total magnetization is 0.104 μB per atom.

It has space group P-3m1 (No. 164), with a = 5.7766 Å, b = 5.7766 Å, c = 5.7679 Å, α = 90.00°, β = 90.00° and γ = 120.00°. The asymmetric unit holds Na at (0.3333, 0.6667, 0.4648), Sm at (0.0000, 0.0000, 0.0000), S at (0.0000, 0.0000, 0.5000) and O at (0.1372, 0.2743, 0.6710).

---

Entry from the Alexandria database: Pu2ZrPd9 after structural relaxation (PBE-GGA).

The value obtained for the energy relative to the elements is -644 meV per atom. The total energy is -7.6397 eV/atom. The value obtained for the total magnetization is 0.790 μB per atom.

It has space group P4/mmm (No. 123), with a = 4.107 Å, b = 4.107 Å, c = 12.375 Å, α = 90.00°, β = 90.00° and γ = 90.00°. The asymmetric unit holds Pu at (0.000, 0.000, 0.168), Zr at (0.000, 0.000, 0.500), Pd at (0.000, 0.500, 0.000), Pd at (0.000, 0.500, 0.342), Pd at (0.500, 0.500, 0.172) and Pd at (0.500, 0.500, 0.500).